The following is a DFT calculation (PBE-GGA) of crystalline Er6Zn2In at its relaxed geometry.

Its energy of formation is -0.01 eV per atom.

It has space group I4/mmm (No. 139), with a = 4.951 Å, b = 4.951 Å, c = 21.426 Å, α = 90.00°, β = 90.00° and γ = 90.00°. The inequivalent atoms are Er at (0.000, 0.500, 0.090), Er at (0.000, 0.500, 0.250), Zn at (0.000, 0.000, 0.168) and In at (0.000, 0.000, 0.500).

---

The following is a DFT calculation (PBE-GGA) of crystalline CaHg at its relaxed geometry.

Its energy of formation is 0.11 eV per atom.

It has space group Pm-3n (No. 223), with a = 8.636 Å, b = 8.636 Å, c = 8.636 Å, α = 90.00°, β = 90.00° and γ = 90.00°. The inequivalent atoms are Ca at (0.000, 0.250, 0.500) and Hg at (0.000, 0.500, 0.250).

---

The following is a DFT calculation (PBE-GGA) of crystalline Sb2RhAu at its relaxed geometry.

The uncorrected formation energy comes out at 0.04 eV per atom.

It has space group P4/mmm (No. 123), with a = 4.757 Å, b = 4.757 Å, c = 3.592 Å, α = 90.00°, β = 90.00° and γ = 90.00°. The inequivalent atoms are Sb at (0.000, 0.500, 0.000), Rh at (0.000, 0.000, 0.500) and Au at (0.500, 0.500, 0.500).

---

Which theoretical density belongs to each record? In order, 7.90 3.72 11.10 g cm⁻³.